Here is crystalline Na2Cd2Cu at its relaxed geometry from the Alexandria database. Energies are from PBE.

Computed properties:
**Total magnetization**: 0.00 μB per formula unit
**Energy above the most stable polymorph in this dataset**: 227 meV/atom

Lattice parameters (Å, degrees): 7.345 7.345 4.666 90.00 90.00 90.00
Sites, in units of the cell vectors:
Na 0.149 0.351 0.000
Na 0.351 0.851 0.000
Na 0.649 0.149 0.000
Na 0.851 0.649 0.000
Cd 0.158 0.658 0.500
Cd 0.342 0.158 0.500
Cd 0.658 0.842 0.500
Cd 0.842 0.342 0.500
Cu 0.000 0.000 0.000
Cu 0.500 0.500 0.000

---

Here is crystalline Na2CdCu at its relaxed geometry from the Alexandria database. Energies are from PBE.

Computed properties:
**Total magnetization**: 0.00 μB per formula unit
**Uncorrected energy**: -6.33 eV per formula unit

Lattice parameters (Å, degrees): 11.108 11.108 11.108 16.14 16.14 16.14
Sites, in units of the cell vectors:
Na 0.083 0.083 0.083
Na 0.917 0.917 0.917
Cd 0.500 0.500 0.500
Cu 0.000 0.000 0.000

---

Here is crystalline NaCd6Cu6 at its relaxed geometry from the Alexandria database. Energies are from PBE.

Computed properties:
**Total magnetization**: 0.00 μB per formula unit
**Uncorrected energy**: -31.55 eV per formula unit

Lattice parameters (Å, degrees): 7.055 7.055 7.055 135.83 98.93 97.32
Sites, in units of the cell vectors:
Na 0.000 0.000 0.000
Cd 0.176 0.500 0.676
Cd 0.333 0.333 0.000
Cd 0.340 0.000 0.340
Cd 0.660 0.000 0.660
Cd 0.667 0.667 0.000
Cd 0.824 0.500 0.324
Cu 0.000 0.000 0.500
Cu 0.000 0.500 0.000
Cu 0.241 0.741 0.500
Cu 0.500 0.000 0.000
Cu 0.500 0.500 0.500
Cu 0.759 0.259 0.500

---

Here is crystalline NaCd2Cu at its relaxed geometry from the Alexandria database. Energies are from PBE.

Computed properties:
**Total magnetization**: 0.00 μB per formula unit
**Uncorrected energy**: -6.98 eV per formula unit

Lattice parameters (Å, degrees): 5.530 5.530 5.530 49.91 49.91 49.91
Sites, in units of the cell vectors:
Na 0.000 0.000 0.000
Cd 0.546 0.546 0.546
Cd 0.786 0.786 0.786
Cu 0.197 0.197 0.197